DFT (PBE) results for a relaxed structure of TbY3Ho2Te6.

Properties
Raw total energy in eV/cell: -67.491
SG: C2/m, No. 12
Density of states at the Fermi level in states/eV/atom: 0.54
Size of the total moment in μB per cell: 0.000
ΔE_f (raw) in kJ/mol of atoms: -124.33

Cell and atoms, written as CIF:
```
data_TbY3Ho2Te6
_chemical_formula_sum 'Tb1 Y3 Ho2 Te6'
_space_group_name_H-M_alt 'P 1'
_space_group_IT_number 1
_space_group_name_Hall 'P 1'
_cell_length_a 9.739
_cell_length_b 9.739
_cell_length_c 8.748
_cell_angle_alpha 102.97
_cell_angle_beta 102.97
_cell_angle_gamma 25.76
loop_
_atom_site_label
_atom_site_fract_x
_atom_site_fract_y
_atom_site_fract_z
Tb1 0.000 0.000 0.000
Y1 0.000 0.000 0.500
Y2 0.335 0.335 0.167
Y3 0.665 0.665 0.833
Ho1 0.334 0.334 0.669
Ho2 0.666 0.666 0.331
Te1 0.168 0.168 0.085
Te2 0.168 0.168 0.581
Te3 0.499 0.499 0.749
Te4 0.501 0.501 0.251
Te5 0.832 0.832 0.419
Te6 0.832 0.832 0.915
```